1.
Computed, not measured: an optimized crystal structure of Sr2Ag4Hg5 at the PBE level of DFT.

extended XYZ file:
```
11
Lattice="-2.966 4.725 4.928 2.966 -4.725 4.928 2.966 4.725 -4.928" Properties=species:S:1:pos:R:3 pbc="T T T"
Sr 0.000 0.000 2.219
Sr 0.000 0.000 7.637
Ag 2.966 -1.532 2.412
Ag 2.966 1.532 2.412
Ag 0.000 3.194 2.516
Ag 0.000 6.257 2.516
Hg 2.966 0.000 0.000
Hg 1.476 2.970 0.000
Hg 1.490 -1.755 4.928
Hg 1.476 6.481 0.000
Hg 1.490 1.755 4.928
```

Calculated values
Calculated formation energy in meV per atom: -195.0
Crystal system: orthorhombic
Density in g cm⁻³: 9.7
E in eV/cell: -18.42


2.
Computed, not measured: an optimized crystal structure of KYAl at the PBE level of DFT.

extended XYZ file:
```
6
Lattice="3.636 0.000 0.000 0.000 4.519 0.000 -0.154 0.000 13.653" Properties=species:S:1:pos:R:3 pbc="T T T"
K 0.822 1.130 2.062
K 2.661 3.390 11.592
Y 0.828 1.130 5.732
Y 2.655 3.390 7.921
Al 0.839 1.130 8.966
Al 2.644 3.390 4.687
```

Calculated values
Calculated formation energy in meV per atom: -3.8
Crystal system: monoclinic
Density in g cm⁻³: 2.3
ΔE to the lowest computed polymorph in meV/atom: 108.9
E in eV/cell: -22.63